Record 1
Crystalline Co2B2Ir at its relaxed geometry, computed with PBE.

Geometry as POSCAR:
```
Co2B2Ir
1.0
5.667 0.000 0.000
0.000 5.667 0.000
0.000 0.000 2.919
Co Ir B
4 2 4
Direct
0.157 0.657 0.500
0.657 0.843 0.500
0.343 0.157 0.500
0.843 0.343 0.500
0.000 0.000 0.000
0.500 0.500 0.000
0.883 0.617 0.000
0.383 0.883 0.000
0.117 0.383 0.000
0.617 0.117 0.000
```

***

Record 2
Crystalline CoB2Ir2 at its relaxed geometry, computed with PBE.

Geometry as POSCAR:
```
CoB2Ir2
1.0
6.262 0.000 0.000
0.000 6.262 0.000
0.000 0.000 2.689
Ir B Co
4 4 2
Direct
0.344 0.156 0.500
0.156 0.656 0.500
0.656 0.844 0.500
0.844 0.344 0.500
0.646 0.146 0.000
0.854 0.646 0.000
0.354 0.854 0.000
0.146 0.354 0.000
0.000 0.000 0.000
0.500 0.500 0.000
```

***

Record 3
Crystalline Co2BIr2 at its relaxed geometry, computed with PBE.

Geometry as POSCAR:
```
Co2BIr2
1.0
3.495 0.000 0.000
0.000 3.495 0.000
1.747 1.747 5.780
Ir Co B
2 2 1
Direct
0.750 0.250 0.500
0.250 0.750 0.500
0.406 0.406 0.189
0.594 0.594 0.811
0.000 0.000 0.000
```

***

Record 4
Crystalline CoBIr at its relaxed geometry, computed with PBE.

Geometry as POSCAR:
```
CoBIr
1.0
-3.476 -0.575 0.770
-0.985 -0.852 3.363
-1.821 2.382 2.004
Ir Co B
1 1 1
Direct
0.000 0.000 0.000
0.500 0.500 0.500
0.250 0.250 0.250
```

***

| no. | formation enthalpy at 0 K (kJ/mol of formula units) | magnetization (μB/cell) |
| --- | --- | --- |
| 1 | -51 | 2.0 |
| 2 | 0 | 3.4 |
| 3 | 580 | 0.9 |
| 4 | -28 | 0.8 |